# Rb2UInF8

A geometry-optimized Rb2UInF8 structure (GGA-PBE, Alexandria).

Geometry as POSCAR:
```
Rb2UInF8
1.0
-1.1863 -4.0238 4.6183
2.8232 -4.5338 -3.2250
4.4682 5.7149 1.9125
F U Rb In
8 1 2 1
Direct
0.5601 0.6489 0.7119
0.3511 0.8483 0.2881
0.9371 0.8483 0.2881
0.1517 0.6489 0.7119
0.9371 0.4399 0.2881
0.5601 0.0629 0.7119
0.1517 0.0629 0.7119
0.3511 0.4399 0.2881
0.2500 0.7500 0.5000
0.0000 0.0000 0.0000
0.7500 0.2500 0.5000
0.5000 0.5000 0.0000
```

Calculated values
As for the total magnetic moment: 1.00 μB/cell. Its uncorrected formation energy is -3.0231 eV/atom. The calculation puts the energy at -5.601 eV/atom.